1.
Here is an optimized crystal structure of Er4Te2AsP from Alexandria. Energies are from PBE-GGA.

abc: 7.1373 4.1221 7.3941
angles: 90.00 108.80 90.00
Fractional coordinates of all 8 atoms:
Er 0.2312 0.0000 0.2108
Er 0.2555 0.5000 0.7861
Er 0.7445 0.5000 0.2139
Er 0.7688 0.0000 0.7892
Te 0.0000 0.0000 0.5000
Te 0.5000 0.5000 0.5000
As 0.5000 0.0000 0.0000
P 0.0000 0.5000 0.0000

Summary:
The magnetic moment comes out at 0.00 μB/f.u. The total energy is -0.427 Ry per atom. As for the energy relative to the elements, uncorrected: -1.4875 eV/atom.

2.
Here is an optimized crystal structure of Ta2AgMo from Alexandria. Energies are from PBE-GGA.

abc: 3.5948 4.2964 4.4828
angles: 90.00 90.00 90.00
Fractional coordinates of all 4 atoms:
Ta 0.0000 0.0000 0.0000
Ta 0.5000 0.0000 0.5000
Ag 0.0000 0.5000 0.5000
Mo 0.5000 0.5000 0.0000

Summary:
The magnetic moment comes out at 0.00 μB/f.u. The total energy is -0.665 Ry per atom. As for the formation energy from the elements: 0.3039 eV per atom. Its offset from the most stable computed form is 0.84 eV/f.u.

3.
Here is an optimized crystal structure of Rb3Pa3MnN8 from Alexandria. Energies are from PBE-GGA.

abc: 6.8719 6.8719 7.8481
angles: 115.92 115.92 59.94
Fractional coordinates of all 15 atoms:
Rb 0.0000 0.0000 0.0000
Rb 0.0000 0.5000 0.0000
Rb 0.5000 0.0000 0.0000
Pa 0.0000 0.5000 0.5000
Pa 0.5000 0.0000 0.5000
Pa 0.5000 0.5000 0.5000
Mn 0.0000 0.0000 0.5000
N 0.2049 0.2049 0.6473
N 0.2052 0.7377 0.6474
N 0.2623 0.7948 0.3526
N 0.2798 0.2798 0.3398
N 0.7202 0.7202 0.6602
N 0.7377 0.2052 0.6474
N 0.7948 0.2623 0.3526
N 0.7951 0.7951 0.3527

Summary:
The magnetic moment comes out at 1.08 μB/f.u. The total energy is -0.577 Ry per atom. As for the energy relative to the elements, uncorrected: -0.7105 eV/atom.

4.
Here is an optimized crystal structure of PaTe4H from Alexandria. Energies are from PBE-GGA.

abc: 5.8155 9.9768 8.2904
angles: 90.00 97.41 90.00
Fractional coordinates of all 12 atoms:
Pa 0.0144 0.2500 0.1346
Pa 0.9856 0.7500 0.8654
Te 0.0117 0.5615 0.1592
Te 0.0117 0.9385 0.1592
Te 0.0470 0.2500 0.5112
Te 0.4753 0.7500 0.8187
Te 0.5247 0.2500 0.1813
Te 0.9530 0.7500 0.4888
Te 0.9883 0.0615 0.8408
Te 0.9883 0.4385 0.8408
H 0.3355 0.2500 0.5683
H 0.6645 0.7500 0.4317

Summary:
The magnetic moment comes out at 0.00 μB/f.u. The total energy is -0.335 Ry per atom.

5.
Here is an optimized crystal structure of YGa4Bi from Alexandria. Energies are from PBE-GGA.

abc: 5.6656 5.6656 5.6656
angles: 60.00 60.00 60.00
Fractional coordinates of all 6 atoms:
Y 0.0000 0.0000 0.0000
Ga 0.3748 0.3748 0.3748
Ga 0.3748 0.3748 0.8756
Ga 0.3748 0.8756 0.3748
Ga 0.8756 0.3748 0.3748
Bi 0.7500 0.7500 0.7500

Summary:
The magnetic moment comes out at 0.00 μB/f.u. The total energy is -0.292 Ry per atom. As for the formation energy from the elements: -0.2299 eV per atom.

6.
Here is an optimized crystal structure of La2CuIrC from Alexandria. Energies are from PBE-GGA.

abc: 5.3215 5.3215 3.8745
angles: 90.00 90.00 90.00
Fractional coordinates of all 5 atoms:
La 0.0000 0.5000 0.0000
La 0.5000 0.0000 0.0000
Cu 0.0000 0.0000 0.5000
Ir 0.5000 0.5000 0.5000
C 0.5000 0.5000 0.0000

Summary:
The magnetic moment comes out at 0.00 μB/f.u. The total energy is -0.497 Ry per atom. As for the formation energy from the elements: -0.3585 eV per atom. Its offset from the most stable computed form is 0.00 eV/f.u.